No. 1
# Y2TaAs

An optimized crystal structure of Y2TaAs (GGA-PBE, Alexandria).

Properties
Formation energy from the elements, eV per atom: 0.199

a b c (Å): 6.5572 6.5572 6.5572
angles (deg): 100.20 100.20 130.24
Positions (direct):
1 Y 0.0739 0.1250 0.4489
2 Y 0.3750 0.9261 0.0511
3 Y 0.6761 0.6250 0.5511
4 Y 0.8750 0.3239 0.9489
5 Ta 0.2500 0.7500 0.5000
6 Ta 0.5000 0.5000 0.0000
7 As 0.0000 0.0000 0.0000
8 As 0.7500 0.2500 0.5000


No. 2
# Cs2KTlAu

An optimized crystal structure of Cs2KTlAu (GGA-PBE, Alexandria).

Properties
Energy relative to the lowest polymorph listed for this composition, eV per formula unit: 0.21
Formation energy from the elements, eV per atom: -0.032

a b c (Å): 6.8757 6.8757 6.3903
angles (deg): 90.00 90.00 90.00
Positions (direct):
1 Cs 0.0000 0.5000 0.0000
2 Cs 0.5000 0.0000 0.0000
3 K 0.0000 0.0000 0.5000
4 Tl 0.5000 0.5000 0.5000
5 Au 0.0000 0.0000 0.0000


No. 3
# LiTlHg2Te

An optimized crystal structure of LiTlHg2Te (GGA-PBE, Alexandria).

Properties
E_form (uncorrected), eV per atom: -0.232

a b c (Å): 5.2972 5.2972 5.3248
angles (deg): 90.00 90.00 90.00
Positions (direct):
1 Li 0.0000 0.0000 0.0000
2 Tl 0.5000 0.5000 0.5000
3 Hg 0.0000 0.5000 0.0000
4 Hg 0.5000 0.0000 0.0000
5 Te 0.0000 0.0000 0.5000


No. 4
# Na2GaB2Pt5

An optimized crystal structure of Na2GaB2Pt5 (GGA-PBE, Alexandria).

Properties
Formation energy from the elements, eV per atom: -0.402

a b c (Å): 9.7046 9.7046 3.0347
angles (deg): 90.00 90.00 90.00
Positions (direct):
1 Na 0.1762 0.3238 0.0000
2 Na 0.3238 0.8238 0.0000
3 Na 0.6762 0.1762 0.0000
4 Na 0.8238 0.6762 0.0000
5 Ga 0.0000 0.0000 0.0000
6 Ga 0.5000 0.5000 0.0000
7 B 0.1246 0.6246 0.0000
8 B 0.3754 0.1246 0.0000
9 B 0.6246 0.8754 0.0000
10 B 0.8754 0.3754 0.0000
11 Pt 0.0000 0.5000 0.5000
12 Pt 0.0699 0.7812 0.5000
13 Pt 0.2188 0.0699 0.5000
14 Pt 0.2812 0.5699 0.5000
15 Pt 0.4301 0.2812 0.5000
16 Pt 0.5000 0.0000 0.5000
17 Pt 0.5699 0.7188 0.5000
18 Pt 0.7188 0.4301 0.5000
19 Pt 0.7812 0.9301 0.5000
20 Pt 0.9301 0.2188 0.5000


No. 5
# ScV2SbBr

An optimized crystal structure of ScV2SbBr (GGA-PBE, Alexandria).

Properties
E_form (uncorrected), eV per atom: 1.072

a b c (Å): 5.2210 5.2210 4.8348
angles (deg): 90.00 90.00 90.00
Positions (direct):
1 Sc 0.0000 0.0000 0.0000
2 V 0.0000 0.5000 0.0000
3 V 0.5000 0.0000 0.0000
4 Sb 0.5000 0.5000 0.5000
5 Br 0.0000 0.0000 0.5000


No. 6
# Al2Fe2B

An optimized crystal structure of Al2Fe2B (GGA-PBE, Alexandria).

Properties
Energy relative to the lowest polymorph listed for this composition, eV per formula unit: 0.00
Formation energy from the elements, eV per atom: -0.267

a b c (Å): 5.4000 5.4000 3.8395
angles (deg): 90.00 90.00 90.00
Positions (direct):
1 Al 0.1646 0.3354 0.0000
2 Al 0.3354 0.8354 0.0000
3 Al 0.6646 0.1646 0.0000
4 Al 0.8354 0.6646 0.0000
5 Fe 0.1557 0.6557 0.5000
6 Fe 0.3443 0.1557 0.5000
7 Fe 0.6557 0.8443 0.5000
8 Fe 0.8443 0.3443 0.5000
9 B 0.0000 0.0000 0.5000
10 B 0.5000 0.5000 0.5000


No. 7
# Ca3Cd4Pb2

An optimized crystal structure of Ca3Cd4Pb2 (GGA-PBE, Alexandria).

Properties
Formation energy from the elements, eV per atom: -0.372

a b c (Å): 6.2180 6.2180 9.6981
angles (deg): 114.36 114.36 47.97
Positions (direct):
1 Ca 0.0000 0.0000 0.0000
2 Ca 0.3356 0.3356 0.3264
3 Ca 0.6644 0.6644 0.6736
4 Cd 0.0818 0.0818 0.4226
5 Cd 0.2916 0.2916 0.9706
6 Cd 0.7084 0.7084 0.0294
7 Cd 0.9182 0.9182 0.5774
8 Pb 0.3915 0.3915 0.7300
9 Pb 0.6085 0.6085 0.2700


No. 8
# CoPdRu

An optimized crystal structure of CoPdRu (GGA-PBE, Alexandria).

Properties
Energy relative to the lowest polymorph listed for this composition, eV per formula unit: 0.00
Formation energy from the elements, eV per atom: 0.141

a b c (Å): 4.6241 4.6241 7.5023
angles (deg): 113.53 113.53 33.80
Positions (direct):
1 Co 0.0004 0.0004 0.2422
2 Co 0.9996 0.9996 0.7578
3 Pd 0.3338 0.3338 0.4097
4 Pd 0.6662 0.6662 0.5903
5 Ru 0.3414 0.3414 0.9313
6 Ru 0.6586 0.6586 0.0687


No. 9
# La2BeHg

An optimized crystal structure of La2BeHg (GGA-PBE, Alexandria).

Properties
Energy relative to the lowest polymorph listed for this composition, eV per formula unit: 0.22
Formation energy from the elements, eV per atom: -0.098

a b c (Å): 6.1673 6.1673 6.1673
angles (deg): 145.15 130.43 62.02
Positions (direct):
1 La 0.0000 0.0000 0.0000
2 La 0.6926 0.1926 0.5000
3 Be 0.2462 0.7462 0.5000
4 Hg 0.4041 0.4041 0.0000


No. 10
# Na3Ge

An optimized crystal structure of Na3Ge (GGA-PBE, Alexandria).

Properties
Formation energy from the elements, eV per atom: -0.007

a b c (Å): 5.1941 5.1941 9.4362
angles (deg): 90.00 90.00 119.83
Positions (direct):
1 Na 0.0011 0.9989 0.7500
2 Na 0.3330 0.6670 0.0783
3 Na 0.3330 0.6670 0.4217
4 Na 0.6670 0.3330 0.5783
5 Na 0.6670 0.3330 0.9217
6 Na 0.9989 0.0011 0.2500
7 Ge 0.3352 0.6648 0.7500
8 Ge 0.6648 0.3352 0.2500


No. 11
# Li3Nd3AlS8

An optimized crystal structure of Li3Nd3AlS8 (GGA-PBE, Alexandria).

Properties
E_form (uncorrected), eV per atom: -1.499

a b c (Å): 7.5767 7.5767 7.5767
angles (deg): 63.78 63.78 63.78
Positions (direct):
1 Li 0.0000 0.5000 0.5000
2 Li 0.5000 0.0000 0.5000
3 Li 0.5000 0.5000 0.0000
4 Nd 0.0000 0.0000 0.5000
5 Nd 0.0000 0.5000 0.0000
6 Nd 0.5000 0.0000 0.0000
7 Al 0.5000 0.5000 0.5000
8 S 0.2542 0.2542 0.2542
9 S 0.2739 0.2739 0.7144
10 S 0.2739 0.7144 0.2739
11 S 0.2856 0.7261 0.7261
12 S 0.7144 0.2739 0.2739
13 S 0.7261 0.2856 0.7261
14 S 0.7261 0.7261 0.2856
15 S 0.7458 0.7458 0.7458


No. 12
# NaNb2Co2

An optimized crystal structure of NaNb2Co2 (GGA-PBE, Alexandria).

Properties
Energy relative to the lowest polymorph listed for this composition, eV per formula unit: 0.19
Formation energy from the elements, eV per atom: 0.246

a b c (Å): 7.6771 7.6771 2.7096
angles (deg): 90.00 90.00 90.00
Positions (direct):
1 Na 0.0000 0.0000 0.0000
2 Na 0.5000 0.5000 0.0000
3 Nb 0.1481 0.3519 0.0000
4 Nb 0.3519 0.8519 0.0000
5 Nb 0.6481 0.1481 0.0000
6 Nb 0.8519 0.6481 0.0000
7 Co 0.1426 0.6426 0.5000
8 Co 0.3574 0.1426 0.5000
9 Co 0.6426 0.8574 0.5000
10 Co 0.8574 0.3574 0.5000